# 1
PBEsol ScCu3Se3, relaxed; uncorrected formation energy = -65 kJ per mole of atoms; magnetic moment = 0.0 μB per formula unit
1.0
6.7342 0.0000 0.0000
3.3671 5.8320 0.0000
3.3671 1.9440 6.3215
Cu Se Sc
6 6 2
direct
0.3747 0.7252 0.8810 Cu
0.6253 0.2748 0.1190 Cu
0.0192 0.3747 0.8810 Cu
0.7252 0.0192 0.8810 Cu
0.2748 0.9808 0.1190 Cu
0.9808 0.6253 0.1190 Cu
0.2556 0.5769 0.2686 Se
0.8989 0.2556 0.2686 Se
0.1011 0.7444 0.7314 Se
0.7444 0.4231 0.7314 Se
0.4231 0.1011 0.7314 Se
0.5769 0.8989 0.2686 Se
0.8328 0.8328 0.5015 Sc
0.1672 0.1672 0.4985 Sc

# 2
PBEsol CaB2W, relaxed; N(E_F) = 0.462 states/eV per atom; energy of formation from the pure elements = 0.785 eV per atom; magnetic moment = 0.0 μB per formula unit
1.0
5.4006 0.0000 0.0000
0.0000 5.4006 0.0000
-2.7003 -2.7003 5.2723
Ca B W
2 4 2
direct
0.5000 0.5000 0.0000 Ca
0.7500 0.2500 0.5000 Ca
0.1250 0.0206 0.7500 B
0.9794 0.3750 0.2500 B
0.6250 0.7294 0.7500 B
0.2706 0.8750 0.2500 B
0.2500 0.7500 0.5000 W
0.0000 0.0000 0.0000 W